Entry 1:
{
  "formula": "KCd2Hg4",
  "functional": "PBE",
  "state": "optimized geometry",
  "lattice_angstrom": [[4.934, 0.000, -1.125], [-0.205, 3.856, -0.901], [-0.199, 0.406, 10.510]],
  "species": ["Hg", "Hg", "K", "Hg", "Cd", "Cd", "Hg"],
  "frac_coords": [[0.076, 0.576, 0.151], [0.924, 0.424, 0.849], [0.500, 0.000, 0.000], [0.336, 0.336, 0.673], [0.192, 0.192, 0.384], [0.808, 0.808, 0.616], [0.664, 0.664, 0.327]],
  "final_energy_ev_per_atom": -0.68,
  "dos_ef_per_ev_cell": 2.58,
  "polymorph_energy_ev_per_atom": 0.031,
  "spacegroup": "Immm, No. 71",
  "delta_e_f_ev_per_atom": -0.094
}



Entry 2:
{
  "formula": "Ta2FeHIr",
  "functional": "PBE",
  "state": "optimized geometry",
  "lattice_angstrom": [[4.083, 0.000, 0.000], [0.000, 4.083, 0.000], [0.000, 0.000, 3.866]],
  "species": ["Ir", "Fe", "Ta", "Ta", "H"],
  "frac_coords": [[0.000, 0.000, 0.500], [0.500, 0.500, 0.500], [0.000, 0.500, 0.000], [0.500, 0.000, 0.000], [0.000, 0.000, 0.000]],
  "final_energy_ev_per_atom": -9.01,
  "dos_ef_per_ev_cell": 4.15,
  "polymorph_energy_ev_per_atom": 0.125,
  "spacegroup": "P4/mmm, No. 123"
}